Record 1
A PBEsol-optimized structure of Cd2CuAu, computed with SCAN.

Calculated values
Its space group is Pm. As for the crystal system: monoclinic.

Structure (POSCAR):
```
Cd2CuAu
1.0
2.918 0.000 0.000
0.000 4.356 0.000
-1.338 0.000 5.392
Cd Cu Au
2 1 1
direct
0.000 0.000 0.000
0.324 0.500 0.676
0.589 0.500 0.188
0.723 0.000 0.463
```



Record 2
A PBEsol-optimized structure of Cd2CuAu, computed with SCAN.

Calculated values
Its space group is I-4m2. As for the crystal system: tetragonal.

Structure (POSCAR):
```
Cd2CuAu
1.0
-2.010 2.010 4.179
2.010 -2.010 4.179
2.010 2.010 -4.179
Cd Cu Au
2 1 1
direct
0.000 0.000 0.000
0.750 0.250 0.500
0.500 0.500 0.000
0.250 0.750 0.500
```



Record 3
A PBEsol-optimized structure of Cd2CuAu, computed with SCAN.

Calculated values
Its space group is P4/mmm. As for the crystal system: tetragonal.

Structure (POSCAR):
```
Cd2CuAu
1.0
3.128 0.000 0.000
0.000 3.128 0.000
0.000 0.000 6.874
Cd Cu Au
2 1 1
direct
0.000 0.000 0.231
0.000 0.000 0.769
0.500 0.500 0.000
0.500 0.500 0.500
```



Record 4
A PBEsol-optimized structure of CdCuAu2, computed with SCAN.

Calculated values
Its space group is R-3m. As for the crystal system: trigonal.

Structure (POSCAR):
```
CdCuAu2
1.0
1.451 0.838 8.984
-1.451 0.838 8.984
0.000 -1.676 8.984
Cd Cu Au
1 1 2
direct
0.000 0.000 0.000
0.500 0.500 0.500
0.242 0.242 0.242
0.758 0.758 0.758
```



Record 5
A PBEsol-optimized structure of CdCuAu2, computed with SCAN.

Calculated values
Its space group is Imm2. As for the crystal system: orthorhombic.

Structure (POSCAR):
```
CdCuAu2
1.0
-1.991 2.032 4.010
1.991 -2.032 4.010
1.991 2.032 -4.010
Cd Cu Au
1 1 2
direct
0.000 0.000 0.000
0.751 0.251 0.500
0.252 0.752 0.500
0.504 0.504 0.000
```



Record 6
A PBEsol-optimized structure of CdCu2AuF, computed with SCAN.

Calculated values
The formation energy (no corrections) comes out at 79.7 kJ per mole of atoms. Its space group is P4/mmm. As for the crystal system: tetragonal.

Structure (POSCAR):
```
CdCu2AuF
1.0
4.772 0.000 0.000
0.000 4.772 0.000
0.000 0.000 4.985
Cd Cu Au F
1 2 1 1
direct
0.000 0.000 0.000
0.000 0.500 0.000
0.500 0.000 0.000
0.000 0.000 0.500
0.500 0.500 0.500
```



Record 7
A PBEsol-optimized structure of MnCdCuAu2, computed with SCAN.

Calculated values
Its space group is P4/mmm. As for the crystal system: tetragonal.

Structure (POSCAR):
```
MnCdCuAu2
1.0
4.703 0.000 0.000
0.000 4.703 0.000
0.000 0.000 4.654
Mn Cd Cu Au
1 1 1 2
direct
0.000 0.000 0.000
0.500 0.500 0.000
0.500 0.500 0.500
0.000 0.500 0.500
0.500 0.000 0.500
```



Record 8
A PBEsol-optimized structure of CdCuPdAu2, computed with SCAN.

Calculated values
Its space group is P4/mmm. As for the crystal system: tetragonal.

Structure (POSCAR):
```
CdCuPdAu2
1.0
4.633 0.000 0.000
0.000 4.633 0.000
0.000 0.000 4.658
Cd Cu Pd Au
1 1 1 2
direct
0.000 0.000 0.000
0.000 0.000 0.500
0.500 0.500 0.000
0.000 0.500 0.500
0.500 0.000 0.500
```



Record 9
A PBEsol-optimized structure of DyCdAu, computed with SCAN.

Calculated values
Its space group is P-62m. As for the crystal system: hexagonal.

Structure (POSCAR):
```
DyCdAu
1.0
7.617 0.000 0.000
-3.808 6.596 0.000
0.000 0.000 3.887
Dy Cd Au
3 3 3
direct
0.000 0.403 0.000
0.403 0.000 0.000
0.597 0.597 0.000
0.000 0.739 0.500
0.261 0.261 0.500
0.739 0.000 0.500
0.000 0.000 0.000
0.333 0.667 0.500
0.667 0.333 0.500
```



Record 10
A PBEsol-optimized structure of CdAu2F8, computed with SCAN.

Calculated values
The formation energy (no corrections) comes out at -146.9 kJ per mole of atoms. Its space group is P4/mcc. As for the crystal system: tetragonal.

Structure (POSCAR):
```
CdAu2F8
1.0
5.727 0.000 0.000
0.000 5.727 0.000
0.000 0.000 10.310
Cd Au F
2 4 16
direct
0.000 0.000 0.250
0.000 0.000 0.750
0.000 0.500 0.000
0.000 0.500 0.500
0.500 0.000 0.000
0.500 0.000 0.500
0.151 0.308 0.130
0.151 0.308 0.870
0.151 0.692 0.370
0.151 0.692 0.630
0.308 0.151 0.370
0.308 0.151 0.630
0.308 0.849 0.130
0.308 0.849 0.870
0.692 0.151 0.130
0.692 0.151 0.870
0.692 0.849 0.370
0.692 0.849 0.630
0.849 0.308 0.370
0.849 0.308 0.630
0.849 0.692 0.130
0.849 0.692 0.870
```



Record 11
A PBEsol-optimized structure of CdAuF2, computed with SCAN.

Calculated values
The formation energy (no corrections) comes out at -123.3 kJ per mole of atoms. Its space group is R-3m. As for the crystal system: trigonal.

Structure (POSCAR):
```
CdAuF2
1.0
1.560 0.901 8.614
-1.560 0.901 8.614
0.000 -1.802 8.614
Cd Au F
1 1 2
direct
0.000 0.000 0.000
0.500 0.500 0.500
0.383 0.383 0.383
0.617 0.617 0.617
```



Record 12
A PBEsol-optimized structure of CdAuN2F, computed with SCAN.

Calculated values
The formation energy (no corrections) comes out at 123.5 kJ per mole of atoms. Its space group is P4/mmm. As for the crystal system: tetragonal.

Structure (POSCAR):
```
CdAuN2F
1.0
4.238 0.000 0.000
0.000 4.238 0.000
0.000 0.000 4.212
Cd Au N F
1 1 2 1
direct
0.000 0.000 0.000
0.500 0.500 0.500
0.000 0.500 0.000
0.500 0.000 0.000
0.000 0.000 0.500
```



Record 13
A PBEsol-optimized structure of CdAuNF2, computed with SCAN.

Calculated values
The formation energy (no corrections) comes out at 5.6 kJ per mole of atoms. Its space group is P4/mmm. As for the crystal system: tetragonal.

Structure (POSCAR):
```
CdAuNF2
1.0
4.239 0.000 0.000
0.000 4.239 0.000
0.000 0.000 4.327
Cd Au N F
1 1 1 2
direct
0.000 0.000 0.000
0.500 0.500 0.500
0.000 0.000 0.500
0.000 0.500 0.000
0.500 0.000 0.000
```



Record 14
A PBEsol-optimized structure of Cd2FeAu, computed with SCAN.

Calculated values
Its space group is P4/mmm. As for the crystal system: tetragonal.

Structure (POSCAR):
```
Cd2FeAu
1.0
2.871 0.000 0.000
0.000 2.871 0.000
0.000 0.000 8.101
Cd Fe Au
2 1 1
direct
0.000 0.000 0.234
0.000 0.000 0.766
0.500 0.500 0.000
0.500 0.500 0.500
```



Record 15
A PBEsol-optimized structure of Cd2FeAu, computed with SCAN.

Calculated values
Its space group is I4/mmm. As for the crystal system: tetragonal.

Structure (POSCAR):
```
Cd2FeAu
1.0
-2.115 2.115 3.769
2.115 -2.115 3.769
2.115 2.115 -3.769
Cd Fe Au
2 1 1
direct
0.250 0.750 0.500
0.750 0.250 0.500
0.000 0.000 0.000
0.500 0.500 0.000
```



Record 16
A PBEsol-optimized structure of CdGa2Au2, computed with SCAN.

Calculated values
Its space group is I4/mmm. As for the crystal system: tetragonal.

Structure (POSCAR):
```
CdGa2Au2
1.0
-1.901 1.901 6.371
1.901 -1.901 6.371
1.901 1.901 -6.371
Cd Ga Au
1 2 2
direct
0.000 0.000 0.000
0.250 0.750 0.500
0.750 0.250 0.500
0.394 0.394 0.000
0.606 0.606 0.000
```



Record 17
A PBEsol-optimized structure of ZrCdGa2Au, computed with SCAN.

Calculated values
Its space group is P4/mmm. As for the crystal system: tetragonal.

Structure (POSCAR):
```
ZrCdGa2Au
1.0
4.751 0.000 0.000
0.000 4.751 0.000
0.000 0.000 5.036
Zr Cd Ga Au
1 1 2 1
direct
0.000 0.000 0.000
0.500 0.500 0.000
0.000 0.500 0.500
0.500 0.000 0.500
0.500 0.500 0.500
```



Record 18
A PBEsol-optimized structure of GdCdAu2, computed with SCAN.

Calculated values
Its space group is Fm-3m. As for the crystal system: cubic.

Structure (POSCAR):
```
GdCdAu2
1.0
0.000 3.444 3.444
3.444 0.000 3.444
3.444 3.444 0.000
Gd Cd Au
1 1 2
direct
0.000 0.000 0.000
0.500 0.500 0.500
0.250 0.250 0.250
0.750 0.750 0.750
```



Record 19
A PBEsol-optimized structure of NaCdGeAu2, computed with SCAN.

Calculated values
Its space group is P4/mmm. As for the crystal system: tetragonal.

Structure (POSCAR):
```
NaCdGeAu2
1.0
4.892 0.000 0.000
0.000 4.892 0.000
0.000 0.000 5.117
Na Cd Ge Au
1 1 1 2
direct
0.000 0.000 0.000
0.500 0.500 0.000
0.500 0.500 0.500
0.000 0.500 0.500
0.500 0.000 0.500
```



Record 20
A PBEsol-optimized structure of CdH2Au2, computed with SCAN.

Calculated values
Its space group is P4/mbm. As for the crystal system: tetragonal.

Structure (POSCAR):
```
CdH2Au2
1.0
6.970 0.000 0.000
0.000 6.970 0.000
0.000 0.000 3.450
Cd H Au
2 4 4
direct
0.000 0.000 0.000
0.500 0.500 0.000
0.143 0.357 0.500
0.357 0.857 0.500
0.643 0.143 0.500
0.857 0.643 0.500
0.141 0.359 0.000
0.359 0.859 0.000
0.641 0.141 0.000
0.859 0.641 0.000
```



Record 21
A PBEsol-optimized structure of CdHAu3, computed with SCAN.

Calculated values
Its space group is Pm-3m. As for the crystal system: cubic.

Structure (POSCAR):
```
CdHAu3
1.0
5.128 0.000 0.000
0.000 5.128 0.000
0.000 0.000 5.128
Cd H Au
1 1 3
direct
0.000 0.000 0.000
0.500 0.500 0.500
0.000 0.000 0.500
0.000 0.500 0.000
0.500 0.000 0.000
```



Record 22
A PBEsol-optimized structure of Cd2SnHAu, computed with SCAN.

Calculated values
Its space group is P4/mmm. As for the crystal system: tetragonal.

Structure (POSCAR):
```
Cd2SnHAu
1.0
5.468 0.000 0.000
0.000 5.468 0.000
0.000 0.000 3.381
Cd Sn H Au
2 1 1 1
direct
0.000 0.500 0.000
0.500 0.000 0.000
0.000 0.000 0.500
0.500 0.500 0.500
0.500 0.500 0.000
```



Record 23
A PBEsol-optimized structure of HfZr2CdAu, computed with SCAN.

Calculated values
Its space group is P4/mmm. As for the crystal system: tetragonal.

Structure (POSCAR):
```
HfZr2CdAu
1.0
5.087 0.000 0.000
0.000 5.087 0.000
0.000 0.000 5.040
Hf Zr Cd Au
1 2 1 1
direct
0.000 0.000 0.000
0.000 0.500 0.500
0.500 0.000 0.500
0.000 0.000 0.500
0.500 0.500 0.000
```



Record 24
A PBEsol-optimized structure of CdHgAu, computed with SCAN.

Calculated values
Its space group is Imm2. As for the crystal system: orthorhombic.

Structure (POSCAR):
```
CdHgAu
1.0
-1.750 1.894 4.401
1.750 -1.894 4.401
1.750 1.894 -4.401
Cd Hg Au
1 1 1
direct
0.000 0.000 0.000
0.671 0.671 0.000
0.340 0.340 0.000
```



Record 25
A PBEsol-optimized structure of Cd2HgAu2, computed with SCAN.

Calculated values
Its space group is P4/mbm. As for the crystal system: tetragonal.

Structure (POSCAR):
```
Cd2HgAu2
1.0
7.564 0.000 0.000
0.000 7.564 0.000
0.000 0.000 3.431
Cd Hg Au
4 2 4
direct
0.161 0.339 0.000
0.339 0.839 0.000
0.661 0.161 0.000
0.839 0.661 0.000
0.000 0.000 0.500
0.500 0.500 0.500
0.138 0.638 0.500
0.362 0.138 0.500
0.638 0.862 0.500
0.862 0.362 0.500
```



Record 26
A PBEsol-optimized structure of CdHgAu, computed with SCAN.

Calculated values
Its space group is F-43m. As for the crystal system: cubic.

Structure (POSCAR):
```
CdHgAu
1.0
0.000 3.232 3.232
3.232 0.000 3.232
3.232 3.232 0.000
Cd Hg Au
1 1 1
direct
0.000 0.000 0.000
0.500 0.500 0.500
0.750 0.750 0.750
```



Record 27
A PBEsol-optimized structure of Cd2HgAu2, computed with SCAN.

Calculated values
Its space group is I4/mmm. As for the crystal system: tetragonal.

Structure (POSCAR):
```
Cd2HgAu2
1.0
-1.924 1.924 7.070
1.924 -1.924 7.070
1.924 1.924 -7.070
Cd Hg Au
2 1 2
direct
0.101 0.101 0.000
0.899 0.899 0.000
0.500 0.500 0.000
0.250 0.750 0.500
0.750 0.250 0.500
```



Record 28
A PBEsol-optimized structure of CdHgPbAu2, computed with SCAN.

Calculated values
Its space group is P4/mmm. As for the crystal system: tetragonal.

Structure (POSCAR):
```
CdHgPbAu2
1.0
5.259 0.000 0.000
0.000 5.259 0.000
0.000 0.000 5.629
Cd Hg Pb Au
1 1 1 2
direct
0.000 0.000 0.000
0.500 0.500 0.000
0.500 0.500 0.500
0.000 0.500 0.500
0.500 0.000 0.500
```



Number 1: uncorrected energy -36.374 eV per atom, density of states at the Fermi level 0.226 states/eV/atom. Number 2: uncorrected energy -36.378 eV per atom, density of states at the Fermi level 0.260 states/eV/atom. Number 3: uncorrected energy -36.369 eV per atom, density of states at the Fermi level 0.243 states/eV/atom. Number 4: uncorrected energy -46.030 eV per atom, density of states at the Fermi level 0.310 states/eV/atom. Number 5: uncorrected energy -46.106 eV per atom, density of states at the Fermi level 0.267 states/eV/atom. Number 6: uncorrected energy -25.876 eV per atom, density of states at the Fermi level 0.553 states/eV/atom. Number 7: uncorrected energy -40.024 eV per atom, density of states at the Fermi level 0.377 states/eV/atom. Number 8: uncorrected energy -42.801 eV per atom, density of states at the Fermi level 0.359 states/eV/atom. Number 9: uncorrected energy -49.964 eV per atom, density of states at the Fermi level 0.691 states/eV/atom. Number 10: uncorrected energy -19.436 eV per atom, density of states at the Fermi level 0.000 states/eV/atom. Number 11: uncorrected energy -27.941 eV per atom, density of states at the Fermi level 0.126 states/eV/atom. Number 12: uncorrected energy -23.058 eV per atom, density of states at the Fermi level 0.208 states/eV/atom. Number 13: uncorrected energy -23.130 eV per atom, density of states at the Fermi level 0.350 states/eV/atom. Number 14: uncorrected energy -36.975 eV per atom, density of states at the Fermi level 0.470 states/eV/atom. Number 15: uncorrected energy -36.958 eV per atom, density of states at the Fermi level 0.692 states/eV/atom. Number 16: uncorrected energy -40.480 eV per atom, density of states at the Fermi level 0.355 states/eV/atom. Number 17: uncorrected energy -32.187 eV per atom, density of states at the Fermi level 0.584 states/eV/atom. Number 18: uncorrected energy -57.653 eV per atom, density of states at the Fermi level 0.527 states/eV/atom. Number 19: uncorrected energy -38.421 eV per atom, density of states at the Fermi level 0.348 states/eV/atom. Number 20: uncorrected energy -34.955 eV per atom, density of states at the Fermi level 0.211 states/eV/atom. Number 21: uncorrected energy -47.083 eV per atom, density of states at the Fermi level 0.423 states/eV/atom. Number 22: uncorrected energy -33.765 eV per atom, density of states at the Fermi level 0.265 states/eV/atom. Number 23: uncorrected energy -43.604 eV per atom, density of states at the Fermi level 1.818 states/eV/atom. Number 24: uncorrected energy -55.977 eV per atom, density of states at the Fermi level 0.267 states/eV/atom. Number 25: uncorrected energy -53.631 eV per atom, density of states at the Fermi level 0.207 states/eV/atom. Number 26: uncorrected energy -56.019 eV per atom, density of states at the Fermi level 0.385 states/eV/atom. Number 27: uncorrected energy -53.566 eV per atom, density of states at the Fermi level 0.295 states/eV/atom. Number 28: uncorrected energy -62.065 eV per atom, density of states at the Fermi level 0.292 states/eV/atom.